No. 1
The following is a DFT calculation (PBE-GGA) of a geometry-optimized Ac6Si2IrCl3 structure.

The calculation puts the density of states at the Fermi level at 0.65 states/eV per atom. As for the total magnetic moment: 0.00 μB per formula unit.

The structure belongs to space group C2/m (No. 12); the cell edges are 19.416, 4.457 and 9.166 Å and the angles 90.00°, 101.96° and 90.00°. The inequivalent atoms are Ac at (0.000, 0.000, 0.226), Ac at (0.153, 0.500, 0.099), Ac at (0.172, 0.500, 0.575), Si at (0.163, 0.000, 0.340), Ir at (0.000, 0.500, 0.000), Cl at (0.000, 0.500, 0.500) and Cl at (0.179, 0.000, 0.846).

***

No. 2
The following is a DFT calculation (PBE-GGA) of a geometry-optimized PdI2NF structure.

The relative energy among the computed polymorphs is 614.6 meV/atom. The calculation puts the density of states at the Fermi level at 0.81 states/eV per atom. As for the total magnetic moment: 2.10 μB per formula unit.

The structure belongs to space group P4/mmm (No. 123); the cell edges are 6.018, 6.018 and 3.329 Å and the angles 90.00°, 90.00° and 90.00°. The inequivalent atoms are Pd at (0.000, 0.000, 0.000), I at (0.000, 0.500, 0.500), N at (0.500, 0.500, 0.000) and F at (0.500, 0.500, 0.500).

***

No. 3
The following is a DFT calculation (PBE-GGA) of a geometry-optimized Pm3BCl3 structure.

The calculation puts the density of states at the Fermi level at 0.35 states/eV per atom. As for the total magnetic moment: 0.00 μB per formula unit.

The structure belongs to space group I4_132 (No. 214); the cell edges are 11.282, 11.282 and 11.282 Å and the angles 90.00°, 90.00° and 90.00°. The inequivalent atoms are Pm at (0.111, 0.361, 0.125), B at (0.125, 0.125, 0.125) and Cl at (0.121, 0.129, 0.625).

***

No. 4
The following is a DFT calculation (PBE-GGA) of a geometry-optimized KSrIn2 structure.

The relative energy among the computed polymorphs is 9.4 meV/atom. The value obtained for the energy of formation from the pure elements is -0.744 eV/f.u. The calculation puts the density of states at the Fermi level at 0.59 states/eV per atom. As for the total magnetic moment: 0.00 μB per formula unit.

The structure belongs to space group P4/mmm (No. 123); the cell edges are 4.158, 4.158 and 8.404 Å and the angles 90.00°, 90.00° and 90.00°. The inequivalent atoms are K at (0.000, 0.000, 0.000), Sr at (0.000, 0.000, 0.500) and In at (0.500, 0.500, 0.281).

***

No. 5
The following is a DFT calculation (PBE-GGA) of a geometry-optimized LiHfSbIr structure.

The calculation puts the density of states at the Fermi level at 1.26 states/eV per atom. As for the total magnetic moment: 0.00 μB per formula unit.

The structure belongs to space group F-43m (No. 216); the cell edges are 6.546, 6.546 and 6.546 Å and the angles 90.00°, 90.00° and 90.00°. The inequivalent atoms are Li at (0.000, 0.000, 0.000), Hf at (0.250, 0.250, 0.250), Sb at (0.250, 0.250, 0.750) and Ir at (0.000, 0.000, 0.500).

***

No. 6
The following is a DFT calculation (PBE-GGA) of a geometry-optimized Tm5CS5 structure.

The calculation puts the density of states at the Fermi level at 0.22 states/eV per atom. As for the total magnetic moment: 0.00 μB per formula unit.

The structure belongs to space group C2/m (No. 12); the cell edges are 12.095, 5.360 and 7.543 Å and the angles 90.00°, 108.57° and 90.00°. The inequivalent atoms are Tm at (0.000, 0.000, 0.000), Tm at (0.149, 0.500, 0.840), Tm at (0.154, 0.500, 0.313), C at (0.000, 0.500, 0.000), S at (0.000, 0.500, 0.500), S at (0.168, 0.000, 0.835) and S at (0.176, 0.000, 0.331).

***

No. 7
The following is a DFT calculation (PBE-GGA) of a geometry-optimized BaLaCo2Br structure.

The calculation puts the density of states at the Fermi level at 0.21 states/eV per atom. As for the total magnetic moment: 0.00 μB per formula unit.

The structure belongs to space group P4/mmm (No. 123); the cell edges are 4.771, 4.771 and 6.091 Å and the angles 90.00°, 90.00° and 90.00°. The inequivalent atoms are Ba at (0.000, 0.000, 0.000), La at (0.500, 0.500, 0.500), Co at (0.000, 0.500, 0.500) and Br at (0.500, 0.500, 0.000).

***

No. 8
The following is a DFT calculation (PBE-GGA) of a geometry-optimized Sm3Zn2Ni7 structure.

The value obtained for the energy of formation from the pure elements is -4.603 eV/f.u. The calculation puts the density of states at the Fermi level at 0.54 states/eV per atom. As for the total magnetic moment: 0.00 μB per formula unit.

The structure belongs to space group R-3m (No. 166, hexagonal axes); the cell edges are 5.1618, 5.1618 and 24.2236 Å and the angles 90.00°, 90.00° and 120.00°. The inequivalent atoms are Sm at (0.0000, 0.0000, 0.0000), Sm at (0.0000, 0.0000, 0.1396), Zn at (0.0000, 0.0000, 0.3326), Ni at (0.0000, 0.0000, 0.5000) and Ni at (0.0023, 0.5011, 0.0827).

***

No. 9
The following is a DFT calculation (PBE-GGA) of a geometry-optimized K2LiSc structure.

The value obtained for the energy of formation from the pure elements is 1.543 eV/f.u. The calculation puts the density of states at the Fermi level at 1.26 states/eV per atom. As for the total magnetic moment: 0.83 μB per formula unit.

The structure belongs to space group Pm (No. 6); the cell edges are 3.817, 3.818 and 11.148 Å and the angles 90.00°, 90.23° and 90.00°. The inequivalent atoms are K at (0.000, 0.000, 0.000), K at (0.493, 0.500, 0.363), Li at (0.501, 0.500, 0.771) and Sc at (0.999, 0.000, 0.637).

***

No. 10
The following is a DFT calculation (PBE-GGA) of a geometry-optimized Zr2TlCoP structure.

The value obtained for the energy of formation from the pure elements is 2.954 eV/f.u. The calculation puts the density of states at the Fermi level at 1.39 states/eV per atom. As for the total magnetic moment: 0.16 μB per formula unit.

The structure belongs to space group P4/mmm (No. 123); the cell edges are 4.852, 4.852 and 4.947 Å and the angles 90.00°, 90.00° and 90.00°. The inequivalent atoms are Zr at (0.000, 0.500, 0.000), Tl at (0.000, 0.000, 0.500), Co at (0.500, 0.500, 0.500) and P at (0.000, 0.000, 0.000).

***

No. 11
The following is a DFT calculation (PBE-GGA) of a geometry-optimized NaTe4W structure.

The calculation puts the density of states at the Fermi level at 0.43 states/eV per atom. As for the total magnetic moment: 0.00 μB per formula unit.

The structure belongs to space group C2/c (No. 15); the cell edges are 9.288, 13.503 and 6.312 Å and the angles 90.00°, 113.07° and 90.00°. The inequivalent atoms are Na at (0.000, 0.128, 0.250), Te at (0.108, 0.339, 0.560), Te at (0.248, 0.067, 0.854) and W at (0.000, 0.499, 0.750).

***

No. 12
The following is a DFT calculation (PBE-GGA) of a geometry-optimized LaGeTe3 structure.

The relative energy among the computed polymorphs is 0.0 meV/atom. As for the total magnetic moment: 0.00 μB per formula unit.

The structure belongs to space group P2_1/c (No. 14); the cell edges are 7.549, 8.579 and 12.530 Å and the angles 90.00°, 124.75° and 90.00°. The inequivalent atoms are La at (0.213, 0.124, 0.251), Ge at (0.142, 0.596, 0.067), Te at (0.092, 0.177, 0.938), Te at (0.289, 0.694, 0.934) and Te at (0.432, 0.035, 0.787).

***

No. 13
The following is a DFT calculation (PBE-GGA) of a geometry-optimized Tb4Ag3Hg2 structure.

The value obtained for the energy of formation from the pure elements is -2.742 eV/f.u. The calculation puts the density of states at the Fermi level at 0.80 states/eV per atom. As for the total magnetic moment: 0.00 μB per formula unit.

The structure belongs to space group C2/m (No. 12); the cell edges are 9.680, 4.950 and 9.289 Å and the angles 90.00°, 99.81° and 90.00°. The inequivalent atoms are Tb at (0.051, 0.000, 0.335), Tb at (0.149, 0.500, 0.896), Ag at (0.000, 0.000, 0.000), Ag at (0.142, 0.500, 0.558) and Hg at (0.222, 0.500, 0.250).

***

No. 14
The following is a DFT calculation (PBE-GGA) of a geometry-optimized PaCuRhO5 structure.

The calculation puts the density of states at the Fermi level at 0.73 states/eV per atom. As for the total magnetic moment: 0.69 μB per formula unit.

The structure belongs to space group C2/c (No. 15); the cell edges are 6.665, 9.309 and 7.716 Å and the angles 90.00°, 113.32° and 90.00°. The inequivalent atoms are Pa at (0.250, 0.250, 0.000), Cu at (0.000, 0.061, 0.250), Rh at (0.000, 0.401, 0.250), O at (0.000, 0.380, 0.750), O at (0.018, 0.227, 0.416) and O at (0.220, 0.084, 0.796).

***

No. 15
The following is a DFT calculation (PBE-GGA) of a geometry-optimized AcScCu10 structure.

The value obtained for the energy of formation from the pure elements is -1.479 eV/f.u. The calculation puts the density of states at the Fermi level at 0.52 states/eV per atom. As for the total magnetic moment: 0.00 μB per formula unit.

The structure belongs to space group Pmmm (No. 47); the cell edges are 4.123, 5.081 and 8.822 Å and the angles 90.00°, 90.00° and 90.00°. The inequivalent atoms are Ac at (0.000, 0.000, 0.000), Sc at (0.000, 0.500, 0.500), Cu at (0.000, 0.000, 0.348), Cu at (0.000, 0.500, 0.188), Cu at (0.500, 0.000, 0.500), Cu at (0.500, 0.257, 0.263) and Cu at (0.500, 0.500, 0.000).

***

No. 16
The following is a DFT calculation (PBE-GGA) of a geometry-optimized GeAuO2 structure.

The calculation puts the density of states at the Fermi level at 0.08 states/eV per atom. As for the total magnetic moment: 0.00 μB per formula unit.

The structure belongs to space group I-42d (No. 122); the cell edges are 5.537, 5.537 and 7.915 Å and the angles 90.00°, 90.00° and 90.00°. The inequivalent atoms are Ge at (0.000, 0.000, 0.000), Au at (0.000, 0.000, 0.500) and O at (0.099, 0.250, 0.125).

***

No. 17
The following is a DFT calculation (PBE-GGA) of a geometry-optimized Sm6Ge2Te3Br structure.

The calculation puts the density of states at the Fermi level at 0.38 states/eV per atom. As for the total magnetic moment: 0.00 μB per formula unit.

The structure belongs to space group C2/m (No. 12); the cell edges are 19.099, 4.319 and 8.802 Å and the angles 90.00°, 103.33° and 90.00°. The inequivalent atoms are Sm at (0.015, 0.000, 0.264), Sm at (0.173, 0.500, 0.569), Sm at (0.174, 0.500, 0.115), Ge at (0.168, 0.000, 0.334), Te at (0.000, 0.500, 0.500), Te at (0.159, 0.000, 0.836) and Br at (0.000, 0.500, 0.000).

***

No. 18
The following is a DFT calculation (PBE-GGA) of a geometry-optimized PrCu11 structure.

The value obtained for the energy of formation from the pure elements is -0.932 eV/f.u. The calculation puts the density of states at the Fermi level at 0.34 states/eV per atom. As for the total magnetic moment: 0.00 μB per formula unit.

The structure belongs to space group I4_1/amd (No. 141, origin choice 2); the cell edges are 10.074, 10.074 and 6.600 Å and the angles 90.00°, 90.00° and 90.00°. The inequivalent atoms are Pr at (0.000, 0.250, 0.375), Cu at (0.000, 0.000, 0.000), Cu at (0.000, 0.250, 0.875) and Cu at (0.123, 0.043, 0.684).

***

No. 19
The following is a DFT calculation (PBE-GGA) of a geometry-optimized YAs2RhPb structure.

The value obtained for the energy of formation from the pure elements is -0.832 eV/f.u. The calculation puts the density of states at the Fermi level at 0.79 states/eV per atom. As for the total magnetic moment: 0.00 μB per formula unit.

The structure belongs to space group P4/mmm (No. 123); the cell edges are 4.790, 4.790 and 5.378 Å and the angles 90.00°, 90.00° and 90.00°. The inequivalent atoms are Y at (0.000, 0.000, 0.000), As at (0.000, 0.500, 0.500), Rh at (0.000, 0.000, 0.500) and Pb at (0.500, 0.500, 0.000).

***

No. 20
The following is a DFT calculation (PBE-GGA) of a geometry-optimized Nd6ErTm2Sc structure.

The value obtained for the energy of formation from the pure elements is 1.276 eV/f.u. The calculation puts the density of states at the Fermi level at 1.46 states/eV per atom. As for the total magnetic moment: 0.00 μB per formula unit.

The structure belongs to space group C2/c (No. 15); the cell edges are 9.256, 15.261 and 9.381 Å and the angles 90.00°, 96.45° and 90.00°. The inequivalent atoms are Nd at (0.055, 0.174, 0.448), Nd at (0.097, 0.388, 0.612), Nd at (0.226, 0.216, 0.805), Er at (0.000, 0.028, 0.750), Tm at (0.247, 0.452, 0.951) and Sc at (0.000, 0.421, 0.250).

***

no.,total DFT energy (no corrections) (Ha/atom)
1,-0.1954
2,-0.0918
3,-0.1937
4,-0.0827
5,-0.2444
6,-0.2406
7,-0.1628
8,-0.1892
9,-0.0817
10,-0.2133
11,-0.1692
12,-0.1695
13,-0.1242
14,-0.2698
15,-0.1619
16,-0.1848
17,-0.1954
18,-0.1555
19,-0.2033
20,-0.1733